Material: HfCuWO6
Method: DFT, GGA+U
State: optimized geometry

abc: 5.282 5.282 8.930
angles: 90.00 90.00 120.00
Each line ends with the local moment (μB).
Element x y z (fractional)
O1 0.340 0.359 0.368  0.06
O2 0.359 0.340 0.868  0.06
O3 0.982 0.340 0.632  0.06
O4 0.018 0.660 0.368  0.06
O5 0.641 0.660 0.132  0.06
O6 0.018 0.359 0.132  0.06
O7 0.359 0.018 0.632  0.06
O8 0.660 0.018 0.868  0.06
O9 0.641 0.982 0.368  0.06
O10 0.660 0.641 0.632  0.06
O11 0.982 0.641 0.868  0.06
O12 0.340 0.982 0.132  0.06
Cu1 0.000 0.000 0.500  0.63
Cu2 0.000 0.000 0.000  0.63
W1 0.667 0.333 0.750  -0.02
W2 0.333 0.667 0.250  -0.02
Hf1 0.667 0.333 0.250  0.00
Hf2 0.333 0.667 0.750  0.00

## Properties
**Total DFT energy (no corrections)**: -7.684 eV per atom